# 1
Entry from the Alexandria database: a relaxed NbCl2F crystal (PBE).

Unit cell a=8.085 b=8.085 c=8.085 alpha=23.35 beta=23.35 gamma=23.35
Element x y z (fractional)
Nb  0.000  0.000  0.000
Cl  0.404  0.404  0.404
Cl  0.596  0.596  0.596
F  0.500  0.500  0.500

Summary:
The formation energy (no corrections) comes out at -0.82 eV/atom. The energy above the lowest structure with this stoichiometry comes out at 83.2 kJ per mole of atoms. The volume is 18.23 Å³ per atom.


# 2
Entry from the Alexandria database: a relaxed Nb2ClF crystal (PBE).

Unit cell a=4.344 b=4.344 c=4.344 alpha=60.00 beta=60.00 gamma=60.00
Element x y z (fractional)
Nb  0.250  0.250  0.250
Nb  0.750  0.750  0.750
Cl  0.000  0.000  0.000
F  0.500  0.500  0.500

Summary:
The formation energy (no corrections) comes out at 0.04 eV/atom. The energy above the lowest structure with this stoichiometry comes out at 48.1 kJ per mole of atoms. The volume is 14.49 Å³ per atom.


# 3
Entry from the Alexandria database: a relaxed NbCl2F crystal (PBE).

Unit cell a=7.526 b=7.526 c=7.526 alpha=155.72 beta=148.07 gamma=40.51
Element x y z (fractional)
Nb  0.000  0.000  0.000
Cl  0.136  0.636  0.500
Cl  0.864  0.364  0.500
F  0.500  0.000  0.500

Summary:
The formation energy (no corrections) comes out at -1.68 eV/atom. The energy above the lowest structure with this stoichiometry comes out at 0.0 kJ per mole of atoms. The volume is 23.13 Å³ per atom.


# 4
Entry from the Alexandria database: a relaxed Nb2Cl8F crystal (PBE).

Unit cell a=8.195 b=8.195 c=6.877 alpha=96.48 beta=96.48 gamma=69.19
Element x y z (fractional)
Nb  0.148  0.148  0.147
Nb  0.852  0.852  0.853
Cl  0.105  0.683  0.716
Cl  0.193  0.193  0.837
Cl  0.311  0.311  0.301
Cl  0.317  0.895  0.284
Cl  0.683  0.105  0.716
Cl  0.689  0.689  0.699
Cl  0.807  0.807  0.163
Cl  0.895  0.317  0.284
F  0.000  0.000  0.000

Summary:
The formation energy (no corrections) comes out at -1.42 eV/atom. The volume is 38.88 Å³ per atom.


Q: What is the formula in the third record?
A: NbCl2F


Q: The lowest formation energy (no corrections) belongs to which entry?
A: number 3


Q: Which of these has the lowest formation energy (no corrections)?
A: number 3


Q: What is the formation energy (no corrections) in the fourth record?
A: -1.42 eV/atom